HgTe2Mo: optimized geometry, GGA-PBE.

Structure (POSCAR):
```
HgTe2Mo
1.0
1.750 1.010 11.388
-1.750 1.010 11.388
0.000 -2.021 11.388
Hg Te Mo
1 2 1
Direct
0.000 0.000 0.000 Hg
0.112 0.112 0.112 Te
0.888 0.888 0.888 Te
0.500 0.500 0.500 Mo
```

***

HgTe2Mo: optimized geometry, GGA-PBE.

Structure (POSCAR):
```
HgTe2Mo
1.0
-1.599 2.503 6.569
1.599 -2.503 6.569
1.599 2.503 -6.569
Hg Te Mo
1 2 1
Direct
0.000 0.000 0.000 Hg
0.331 0.831 0.500 Te
0.669 0.169 0.500 Te
0.500 0.500 0.000 Mo
```

***

HgTe2Mo: optimized geometry, GGA-PBE.

Structure (POSCAR):
```
HgTe2Mo
1.0
0.000 3.660 3.660
3.660 0.000 3.660
3.660 3.660 0.000
Hg Te Mo
1 2 1
Direct
0.000 0.000 0.000 Hg
0.250 0.250 0.250 Te
0.500 0.500 0.500 Te
0.750 0.750 0.750 Mo
```

***

HgTe2Mo: optimized geometry, GGA-PBE.

Structure (POSCAR):
```
HgTe2Mo
1.0
5.804 0.000 0.000
0.000 3.286 0.000
-2.884 0.000 5.901
Hg Te Mo
1 2 1
Direct
0.000 0.000 0.000 Hg
0.321 0.500 0.641 Te
0.679 0.500 0.359 Te
0.500 0.000 0.000 Mo
```

***

Number 1: raw formation energy -0.28 eV/f.u.. Number 2: raw formation energy 0.80 eV/f.u.. Number 3: raw formation energy 3.23 eV/f.u.. Number 4: raw formation energy 0.64 eV/f.u..